No. 1
The following is a DFT calculation (PBEsol) of a relaxed structure of Tl2SeBr.

Total energy = -12.67 eV/cell
V = 29.82 A^3/atom
Space-group type = P4/mmm, No. 123
Spin magnetization = 0.00 μB/f.u.
Density = 7.90 g/cm3
Formation energy from raw total energies = -0.42 eV per atom

Unit cell a=4.3700 b=4.3700 c=6.2455 alpha=90.00 beta=90.00 gamma=90.00
Closest atoms and distances in Å follow each position.
Fractional coordinates of all 4 atoms:
Tl 0.0000 0.0000 0.0000  4 Br 3.09, 2 Se 3.12
Tl 0.5000 0.5000 0.5000  4 Se 3.09, 2 Br 3.12
Se 0.0000 0.0000 0.5000  6 Tl 3.09-3.12
Br 0.5000 0.5000 0.0000  6 Tl 3.09-3.12


No. 2
The following is a DFT calculation (PBEsol) of a relaxed structure of HfZr2CrB.

Total energy = -44.97 eV/cell
V = 18.98 A^3/atom
Space-group type = P4/mmm, No. 123
Spin magnetization = 3.93 μB/f.u.
Density = 7.41 g/cm3

Unit cell a=4.5839 b=4.5839 c=4.5175 alpha=90.00 beta=90.00 gamma=90.00
Closest atoms and distances in Å follow each position.
Fractional coordinates of all 5 atoms:
Hf 0.0000 0.0000 0.0000  2 B 2.26
Zr 0.0000 0.5000 0.5000  2 B 2.29
Zr 0.5000 0.0000 0.5000  2 B 2.29
Cr 0.5000 0.5000 0.0000  8 Zr 3.22, 4 Hf 3.24
B 0.0000 0.0000 0.5000  2 Hf 2.26, 4 Zr 2.29


No. 3
The following is a DFT calculation (PBEsol) of a relaxed structure of CsZr6CI14.

Total energy = -226.68 eV/cell
V = 32.58 A^3/atom
Space-group type = Cmce, No. 64
Spin magnetization = 0.00 μB/f.u.
Density = 5.72 g/cm3
Formation energy from raw total energies = -1.07 eV per atom

Unit cell a=10.6079 b=10.6079 c=12.8035 alpha=90.00 beta=90.00 gamma=84.23
Closest atoms and distances in Å follow each position.
Fractional coordinates of all 44 atoms:
Cs 0.0000 0.0000 0.0000  12 I 3.80-4.17
Cs 0.5000 0.5000 0.5000  12 I 3.80-4.17
Zr 0.0407 0.1682 0.6074  1 C 2.33
Zr 0.1315 0.8685 0.5975  1 C 2.25
Zr 0.1682 0.0407 0.3926  1 C 2.33
Zr 0.3318 0.4593 0.8926  1 C 2.33
Zr 0.3685 0.6315 0.0975  1 C 2.25
Zr 0.4593 0.3318 0.1074  1 C 2.33
Zr 0.5407 0.6682 0.8926  1 C 2.33
Zr 0.6315 0.3685 0.9025  1 C 2.25
Zr 0.6682 0.5407 0.1074  1 C 2.33
Zr 0.8318 0.9593 0.6074  1 C 2.33
Zr 0.8685 0.1315 0.4025  1 C 2.25
Zr 0.9593 0.8318 0.3926  1 C 2.33
C 0.0000 0.0000 0.5000  6 Zr 2.25-2.33
C 0.5000 0.5000 0.0000  6 Zr 2.25-2.33
I 0.0363 0.2151 0.2492  2 Zr 2.85-2.87
I 0.0987 0.4013 0.7500  2 Zr 3.18
I 0.1160 0.6315 0.4944  2 Zr 2.86-2.88
I 0.1315 0.6160 0.9944  2 Zr 2.86-2.88
I 0.1591 0.8409 0.2384  2 Zr 2.91
I 0.2151 0.0363 0.7508  2 Zr 2.85-2.87
I 0.2482 0.2482 0.0000  2 Zr 2.84
I 0.2518 0.2518 0.5000  2 Zr 2.84
I 0.2849 0.4637 0.2508  2 Zr 2.85-2.87
I 0.3409 0.6591 0.7384  2 Zr 2.91
I 0.3685 0.8840 0.4944  2 Zr 2.86-2.88
I 0.3840 0.8685 0.9944  2 Zr 2.86-2.88
I 0.4013 0.0987 0.2500  2 Zr 3.18
I 0.4637 0.2849 0.7492  2 Zr 2.85-2.87
I 0.5363 0.7151 0.2508  2 Zr 2.85-2.87
I 0.5987 0.9013 0.7500  2 Zr 3.18
I 0.6160 0.1315 0.0056  2 Zr 2.86-2.88
I 0.6315 0.1160 0.5056  2 Zr 2.86-2.88
I 0.6591 0.3409 0.2616  2 Zr 2.91
I 0.7151 0.5363 0.7492  2 Zr 2.85-2.87
I 0.7482 0.7482 0.5000  2 Zr 2.84
I 0.7518 0.7518 0.0000  2 Zr 2.84
I 0.7849 0.9637 0.2492  2 Zr 2.85-2.87
I 0.8409 0.1591 0.7616  2 Zr 2.91
I 0.8685 0.3840 0.0056  2 Zr 2.86-2.88
I 0.8840 0.3685 0.5056  2 Zr 2.86-2.88
I 0.9013 0.5987 0.2500  2 Zr 3.18
I 0.9637 0.7849 0.7508  2 Zr 2.85-2.87